# PBE-GGA Ca3PuAu4, optimized geometry
data_Ca3PuAu4
_cell_length_a 3.620
_cell_length_b 3.620
_cell_length_c 14.733
_cell_angle_alpha 90.00
_cell_angle_beta 90.00
_cell_angle_gamma 90.00
_space_group_name_H-M_alt 'P 4/m m m'
_space_group_IT_number 123
_space_group_name_Hall '-P 4 2'
loop_
_atom_site_label
_atom_site_fract_x
_atom_site_fract_y
_atom_site_fract_z
Ca1 0.000 0.000 0.000
Ca2 0.000 0.000 0.248
Pu1 0.000 0.000 0.500
Au1 0.500 0.500 0.124
Au2 0.500 0.500 0.375
# ΔH_f (0 K) = -0.688 eV/atom

---

# PBE-GGA LaNCl3, optimized geometry
data_LaNCl3
_cell_length_a 4.606
_cell_length_b 4.606
_cell_length_c 4.606
_cell_angle_alpha 90.00
_cell_angle_beta 90.00
_cell_angle_gamma 90.00
_space_group_name_H-M_alt 'P m -3 m'
_space_group_IT_number 221
_space_group_name_Hall '-P 4 2 3'
loop_
_atom_site_label
_atom_site_fract_x
_atom_site_fract_y
_atom_site_fract_z
La1 0.000 0.000 0.000
N1 0.500 0.500 0.500
Cl1 0.000 0.500 0.500
# E above lowest polymorph = 1691.3 meV/atom
# E_form (uncorrected) = -199 meV/atom

---

# PBE-GGA CsBiP2Cl, optimized geometry
data_CsBiP2Cl
_cell_length_a 6.931
_cell_length_b 6.931
_cell_length_c 8.453
_cell_angle_alpha 90.00
_cell_angle_beta 90.00
_cell_angle_gamma 90.00
_space_group_name_H-M_alt 'P 4/m m m'
_space_group_IT_number 123
_space_group_name_Hall '-P 4 2'
loop_
_atom_site_label
_atom_site_fract_x
_atom_site_fract_y
_atom_site_fract_z
Cs1 0.000 0.000 0.000
Bi1 0.000 0.000 0.500
P1 0.000 0.500 0.000
Cl1 0.500 0.500 0.500
# E above lowest polymorph = 1479.2 meV/atom
# E_form (uncorrected) = 1547 meV/atom

---

no.,size of the total moment (μB/atom),density of states at the Fermi level (states/eV/cell)
1,0.72,14.12
2,0.00,2.62
3,1.61,13.14